(1)
AcGe4Rh2, relaxed, DFT PBE-GGA; calculated total energy = -5.92 eV per atom; energy of formation from the pure elements = -595 meV/atom; spin magnetization = 0.000 μB/atom
1.0
4.4337 0.0000 0.0000
0.0000 6.7265 0.0000
0.0000 0.0000 17.8701
Ge Ac Rh
16 4 8
Direct
0.7500 0.7010 0.3055
0.7500 0.5293 0.5665
0.7500 0.1962 0.8182
0.7500 0.3038 0.3182
0.7500 0.6504 0.9706
0.2500 0.2010 0.1945
0.2500 0.0293 0.9335
0.2500 0.2990 0.6945
0.7500 0.8496 0.4706
0.2500 0.1504 0.5294
0.7500 0.9707 0.0665
0.7500 0.7990 0.8055
0.2500 0.4707 0.4335
0.2500 0.3496 0.0294
0.2500 0.6962 0.6818
0.2500 0.8038 0.1818
0.2500 0.5105 0.8595
0.7500 0.4895 0.1405
0.2500 0.9895 0.3595
0.7500 0.0105 0.6405
0.7500 0.2549 0.4691
0.7500 0.2451 0.9691
0.2500 0.9967 0.7913
0.2500 0.7549 0.0309
0.7500 0.4967 0.7087
0.2500 0.5033 0.2913
0.2500 0.7451 0.5309
0.7500 0.0033 0.2087



(2)
Ac4Ge5Rh3, relaxed, DFT PBE-GGA; calculated total energy = -5.75 eV per atom; energy of formation from the pure elements = -615 meV/atom; spin magnetization = 0.000 μB/atom
1.0
-0.7726 1.2736 4.4927
0.3903 -6.4206 4.3805
8.7420 -1.4763 4.4152
Ge Rh Ac
5 3 4
Direct
0.5000 0.5000 0.5000
0.4111 0.0733 0.1045
0.5889 0.9267 0.8955
0.2877 0.4361 0.9885
0.7123 0.5639 0.0115
0.0000 0.5000 0.5000
0.6083 0.1513 0.6320
0.3916 0.8487 0.3680
0.2430 0.8342 0.6798
0.0445 0.7264 0.1846
0.9555 0.2736 0.8154
0.7570 0.1658 0.3202



(3)
AcGe3Rh5, relaxed, DFT PBE-GGA; calculated total energy = -6.71 eV per atom; energy of formation from the pure elements = -634 meV/atom; spin magnetization = 0.000 μB/atom
1.0
4.0689 0.0000 0.0000
-2.0345 6.3923 0.0000
0.0000 0.0000 12.4573
Ge Rh Ac
6 10 2
Direct
0.3815 0.7629 0.9589
0.8984 0.7967 0.2500
0.6185 0.2371 0.0411
0.3815 0.7629 0.5411
0.6185 0.2371 0.4589
0.1016 0.2033 0.7500
0.0000 0.0000 0.0000
0.5509 0.1019 0.8573
0.4491 0.8981 0.3573
0.5509 0.1019 0.6427
0.1981 0.3961 0.9287
0.1981 0.3961 0.5713
0.8019 0.6039 0.4287
0.0000 0.0000 0.5000
0.8019 0.6039 0.0713
0.4491 0.8981 0.1427
0.8267 0.6533 0.7500
0.1733 0.3467 0.2500



(4)
Ac3Ge2Rh3, relaxed, DFT PBE-GGA; calculated total energy = -6.20 eV per atom; energy of formation from the pure elements = -749 meV/atom; spin magnetization = 0.000 μB/atom
1.0
4.4433 0.0000 0.0000
-2.2217 5.7182 0.0000
0.0000 0.0000 15.5197
Ac Rh Ge
6 6 4
Direct
0.0854 0.1707 0.8928
0.3687 0.7375 0.7500
0.9146 0.8293 0.3928
0.6313 0.2625 0.2500
0.9146 0.8293 0.1072
0.0854 0.1707 0.6072
0.3230 0.6459 0.2500
0.3292 0.6584 0.9683
0.6708 0.3416 0.4683
0.3292 0.6584 0.5317
0.6770 0.3541 0.7500
0.6708 0.3416 0.0317
0.2000 0.4001 0.1020
0.2000 0.4001 0.3980
0.8000 0.5999 0.8980
0.8000 0.5999 0.6020



(5)
Ac7Ge4Rh, relaxed, DFT PBE-GGA; calculated total energy = -5.01 eV per atom; energy of formation from the pure elements = -463 meV/atom; spin magnetization = 0.000 μB/atom
1.0
5.5533 0.0000 0.0000
2.7766 9.3006 0.3404
2.7766 0.7825 7.9869
Ge Rh Ac
4 1 7
Direct
0.5779 0.2227 0.6214
0.7257 0.6531 0.8954
0.2743 0.3469 0.1046
0.4221 0.7773 0.3786
0.0000 0.0000 0.0000
0.2120 0.1344 0.4415
0.9219 0.2924 0.8638
0.3558 0.5550 0.7333
0.7880 0.8656 0.5585
0.0781 0.7076 0.1362
0.6442 0.4450 0.2667
0.5000 0.0000 0.0000



(6)
Ac3GeRh2, relaxed, DFT PBE-GGA; calculated total energy = -5.91 eV per atom; energy of formation from the pure elements = -632 meV/atom; spin magnetization = 0.000 μB/atom
1.0
-3.7970 -5.2325 -3.7615
-0.0735 -6.4942 3.7102
-6.6805 -1.2716 3.1145
Ac Ge Rh
6 2 4
Direct
0.2500 0.5663 0.9337
0.5663 0.9337 0.2500
0.7500 0.4337 0.0663
0.9337 0.2500 0.5663
0.4337 0.0663 0.7500
0.0663 0.7500 0.4337
0.0000 0.0000 0.0000
0.5000 0.5000 0.5000
0.8382 0.8382 0.8382
0.3382 0.3382 0.3382
0.6618 0.6618 0.6618
0.1618 0.1618 0.1618



> Which formula does entry 5 have?

Ac7Ge4Rh



> Number 4 is which compound?

Ac3Ge2Rh3